VASP calculation (SCAN) on a PBEsol-optimized structure of KBaAs.

Unit cell a=8.337 b=5.421 c=9.594 alpha=90.00 beta=90.00 gamma=90.00
Space group Pnma (No. 62)
Symmetry-distinct sites (fractional):
K 0.011 0.250 0.179 x4
Ba 0.165 0.250 0.588 x4
As 0.226 0.750 0.409 x4

Properties
Calculated total energy in eV per atom: -23.62
Crystal system: orthorhombic
Formation energy in eV/atom: -0.929
D(E_F) in states/eV per cell: 0.00
Size of the total moment in Bohr magnetons per cell: 0.00

VASP calculation (SCAN) on a PBEsol-optimized structure of TaTe2As.

Unit cell a=3.4362 b=3.4362 c=26.4384 alpha=90.00 beta=90.00 gamma=120.00
Space group R-3m (No. 166, hexagonal axes)
Symmetry-distinct sites (fractional):
Ta 0.0000 0.0000 0.0000 x3
Te 0.0000 0.0000 0.2595 x6
As 0.0000 0.0000 0.5000 x3

Properties
Calculated total energy in eV per atom: -40.18
ΔE_f (raw) in meV/atom: 137
Crystal system: trigonal
D(E_F) in states/eV per cell: 5.08
Size of the total moment in Bohr magnetons per cell: 0.00

VASP calculation (SCAN) on a PBEsol-optimized structure of LiInPb4.

Unit cell a=9.065 b=9.065 c=9.065 alpha=90.00 beta=90.00 gamma=90.00
Space group F-43m (No. 216)
Symmetry-distinct sites (fractional):
Li 0.000 0.000 0.000 x4
In 0.250 0.250 0.750 x4
Pb 0.125 0.125 0.375 x16

Properties
Calculated total energy in eV per atom: -56.43
Crystal system: cubic
Formation energy in eV/atom: 0.057
D(E_F) in states/eV per cell: 9.84
Size of the total moment in Bohr magnetons per cell: 0.00

VASP calculation (SCAN) on a PBEsol-optimized structure of GaAgH2Pb.

Unit cell a=3.916 b=3.916 c=5.674 alpha=90.00 beta=90.00 gamma=90.00
Space group P4/mmm (No. 123)
Symmetry-distinct sites (fractional):
Ga 0.000 0.000 0.000 x1
Ag 0.500 0.500 0.000 x1
H 0.000 0.500 0.500 x2
Pb 0.500 0.500 0.500 x1

Properties
Calculated total energy in eV per atom: -25.61
Crystal system: tetragonal
D(E_F) in states/eV per cell: 1.02
Size of the total moment in Bohr magnetons per cell: 0.00

VASP calculation (SCAN) on a PBEsol-optimized structure of AgPbW3.

Unit cell a=4.925 b=4.925 c=4.925 alpha=90.00 beta=90.00 gamma=90.00
Space group Pm-3m (No. 221)
Symmetry-distinct sites (fractional):
Ag 0.000 0.000 0.000 x1
Pb 0.500 0.500 0.500 x1
W 0.000 0.500 0.500 x3

Properties
Calculated total energy in eV per atom: -59.77
Crystal system: cubic
Formation energy in eV/atom: 3.474
D(E_F) in states/eV per cell: 6.42
Size of the total moment in Bohr magnetons per cell: 0.00

VASP calculation (SCAN) on a PBEsol-optimized structure of HgPd3Ru.

Unit cell a=4.864 b=4.864 c=4.864 alpha=90.00 beta=90.00 gamma=90.00
Space group Pm-3m (No. 221)
Symmetry-distinct sites (fractional):
Hg 0.000 0.000 0.000 x1
Pd 0.000 0.000 0.500 x3
Ru 0.500 0.500 0.500 x1

Properties
Calculated total energy in eV per atom: -38.64
Crystal system: cubic
Formation energy in eV/atom: 1.623
D(E_F) in states/eV per cell: 7.01
Size of the total moment in Bohr magnetons per cell: 3.44

VASP calculation (SCAN) on a PBEsol-optimized structure of SrLi2Hg.

Unit cell a=4.7015 b=4.7015 c=16.5245 alpha=90.00 beta=90.00 gamma=120.00
Space group R3m (No. 160, hexagonal axes)
Symmetry-distinct sites (fractional):
Sr 0.0000 0.0000 0.0000 x3
Li 0.0000 0.0000 0.5126 x3
Li 0.0000 0.0000 0.8046 x3
Hg 0.0000 0.0000 0.2018 x3

Properties
Calculated total energy in eV per atom: -24.19
Crystal system: trigonal
Formation energy in eV/atom: -0.382
D(E_F) in states/eV per cell: 6.99
Size of the total moment in Bohr magnetons per cell: 0.00

VASP calculation (SCAN) on a PBEsol-optimized structure of YMgNi2.

Unit cell a=6.358 b=6.358 c=6.358 alpha=90.00 beta=90.00 gamma=90.00
Space group F-43m (No. 216)
Symmetry-distinct sites (fractional):
Y 0.000 0.000 0.000 x4
Mg 0.250 0.250 0.750 x4
Ni 0.000 0.000 0.500 x4
Ni 0.250 0.250 0.250 x4

Properties
Calculated total energy in eV per atom: -16.21
Crystal system: cubic
Formation energy in eV/atom: 0.083
D(E_F) in states/eV per cell: 13.30
Size of the total moment in Bohr magnetons per cell: 0.00

VASP calculation (SCAN) on a PBEsol-optimized structure of AlPtPb2C.

Unit cell a=5.120 b=5.120 c=3.663 alpha=90.00 beta=90.00 gamma=90.00
Space group P4/mmm (No. 123)
Symmetry-distinct sites (fractional):
Al 0.000 0.000 0.000 x1
Pt 0.500 0.500 0.000 x1
Pb 0.000 0.500 0.500 x2
C 0.000 0.000 0.500 x1

Properties
Calculated total energy in eV per atom: -47.26
Crystal system: tetragonal
Formation energy in eV/atom: 0.660
D(E_F) in states/eV per cell: 2.12
Size of the total moment in Bohr magnetons per cell: 0.00

VASP calculation (SCAN) on a PBEsol-optimized structure of Tb3Co2Si3.

Unit cell a=4.054 b=10.361 c=13.451 alpha=90.00 beta=90.00 gamma=90.00
Space group Cmcm (No. 63)
Symmetry-distinct sites (fractional):
Tb 0.000 0.081 0.112 x8
Tb 0.000 0.364 0.250 x4
Co 0.000 0.216 0.578 x8
Si 0.000 0.328 0.750 x4
Si 0.000 0.380 0.040 x8

Properties
Calculated total energy in eV per atom: -26.30
ΔE_f (raw) in meV/atom: -685
Crystal system: orthorhombic
D(E_F) in states/eV per cell: 20.30
Size of the total moment in Bohr magnetons per cell: 0.01

VASP calculation (SCAN) on a PBEsol-optimized structure of Cr2CoAu.

Unit cell a=2.969 b=4.206 c=8.101 alpha=90.00 beta=90.00 gamma=90.00
Space group Cmm2 (No. 35)
Symmetry-distinct sites (fractional):
Cr 0.000 0.000 0.000 x2
Cr 0.000 0.500 0.219 x2
Co 0.000 0.500 0.774 x2
Au 0.000 0.000 0.500 x2

Properties
Calculated total energy in eV per atom: -30.53
Crystal system: orthorhombic
Formation energy in eV/atom: 0.273
D(E_F) in states/eV per cell: 5.84
Size of the total moment in Bohr magnetons per cell: 3.13

VASP calculation (SCAN) on a PBEsol-optimized structure of AlMoAu2.

Unit cell a=2.815 b=4.807 c=9.474 alpha=90.00 beta=90.00 gamma=90.00
Space group Imm2 (No. 44)
Symmetry-distinct sites (fractional):
Al 0.000 0.000 0.000 x2
Mo 0.000 0.500 0.259 x2
Au 0.000 0.000 0.496 x2
Au 0.000 0.500 0.732 x2

Properties
Calculated total energy in eV per atom: -45.28
Crystal system: orthorhombic
Formation energy in eV/atom: -0.042
D(E_F) in states/eV per cell: 3.51
Size of the total moment in Bohr magnetons per cell: 1.23

VASP calculation (SCAN) on a PBEsol-optimized structure of SrCoSe2.

Unit cell a=6.914 b=6.914 c=6.914 alpha=90.00 beta=90.00 gamma=90.00
Space group Fm-3m (No. 225)
Symmetry-distinct sites (fractional):
Sr 0.000 0.000 0.000 x4
Co 0.000 0.000 0.500 x4
Se 0.250 0.250 0.250 x8

Properties
Calculated total energy in eV per atom: -20.61
ΔE_f (raw) in meV/atom: -680
Crystal system: cubic
D(E_F) in states/eV per cell: 1.49
Size of the total moment in Bohr magnetons per cell: 12.02

VASP calculation (SCAN) on a PBEsol-optimized structure of KCa2Re.

Unit cell a=10.661 b=3.014 c=9.132 alpha=90.00 beta=107.28 gamma=90.00
Space group Cm (No. 8)
Symmetry-distinct sites (fractional):
K 0.000 0.000 0.000 x2
Ca 0.166 0.500 0.651 x2
Ca 0.343 0.500 0.375 x2
Re 0.403 0.000 0.653 x2

Properties
Calculated total energy in eV per atom: -23.75
Crystal system: monoclinic
Formation energy in eV/atom: 0.939
D(E_F) in states/eV per cell: 5.98
Size of the total moment in Bohr magnetons per cell: 0.07

VASP calculation (SCAN) on a PBEsol-optimized structure of ZrNiCl2.

Unit cell a=6.424 b=6.424 c=6.424 alpha=90.00 beta=90.00 gamma=90.00
Space group F-43m (No. 216)
Symmetry-distinct sites (fractional):
Zr 0.000 0.000 0.000 x4
Ni 0.250 0.250 0.750 x4
Cl 0.000 0.000 0.500 x4
Cl 0.250 0.250 0.250 x4

Properties
Calculated total energy in eV per atom: -15.96
ΔE_f (raw) in meV/atom: -257
Crystal system: cubic
D(E_F) in states/eV per cell: 0.06
Size of the total moment in Bohr magnetons per cell: 0.00

VASP calculation (SCAN) on a PBEsol-optimized structure of MnTlTe2.

Unit cell a=7.415 b=7.415 c=7.415 alpha=90.00 beta=90.00 gamma=90.00
Space group Fm-3m (No. 225)
Symmetry-distinct sites (fractional):
Mn 0.000 0.000 0.000 x4
Tl 0.000 0.000 0.500 x4
Te 0.250 0.250 0.250 x8

Properties
Calculated total energy in eV per atom: -41.28
ΔE_f (raw) in meV/atom: -1
Crystal system: cubic
D(E_F) in states/eV per cell: 5.94
Size of the total moment in Bohr magnetons per cell: 17.06

VASP calculation (SCAN) on a PBEsol-optimized structure of Ba2Mg3.

Unit cell a=11.410 b=19.337 c=6.789 alpha=90.00 beta=90.00 gamma=90.00
Space group Fdd2 (No. 43)
Symmetry-distinct sites (fractional):
Ba 0.082 0.297 0.000 x16
Mg 0.000 0.000 0.263 x8
Mg 0.081 0.375 0.502 x16

Properties
Calculated total energy in eV per atom: -18.83
Crystal system: orthorhombic
Formation energy in eV/atom: -0.028
D(E_F) in states/eV per cell: 35.25
Size of the total moment in Bohr magnetons per cell: 1.93

VASP calculation (SCAN) on a PBEsol-optimized structure of SrBeCu2.

Unit cell a=3.9984 b=3.9984 c=15.7846 alpha=90.00 beta=90.00 gamma=120.00
Space group R-3m (No. 166, hexagonal axes)
Symmetry-distinct sites (fractional):
Sr 0.0000 0.0000 0.0000 x3
Be 0.0000 0.0000 0.5000 x3
Cu 0.0000 0.0000 0.1887 x6

Properties
Calculated total energy in eV per atom: -14.33
Crystal system: trigonal
Formation energy in eV/atom: -0.070
D(E_F) in states/eV per cell: 5.10
Size of the total moment in Bohr magnetons per cell: 0.00

VASP calculation (SCAN) on a PBEsol-optimized structure of LaMoSe2N.

Unit cell a=5.671 b=5.671 c=4.021 alpha=90.00 beta=90.00 gamma=90.00
Space group P4/mmm (No. 123)
Symmetry-distinct sites (fractional):
La 0.000 0.000 0.000 x1
Mo 0.500 0.500 0.500 x1
Se 0.000 0.500 0.000 x2
N 0.000 0.000 0.500 x1

Properties
Calculated total energy in eV per atom: -24.90
ΔE_f (raw) in meV/atom: 585
Crystal system: tetragonal
D(E_F) in states/eV per cell: 2.49
Size of the total moment in Bohr magnetons per cell: 3.20

VASP calculation (SCAN) on a PBEsol-optimized structure of MgSbCl2.

Unit cell a=3.361 b=5.094 c=13.073 alpha=90.00 beta=90.00 gamma=90.00
Space group Imm2 (No. 44)
Symmetry-distinct sites (fractional):
Mg 0.000 0.000 0.000 x2
Sb 0.000 0.500 0.684 x2
Cl 0.000 0.000 0.613 x2
Cl 0.000 0.500 0.373 x2

Properties
Calculated total energy in eV per atom: -15.43
ΔE_f (raw) in meV/atom: -883
Crystal system: orthorhombic
D(E_F) in states/eV per cell: 1.70
Size of the total moment in Bohr magnetons per cell: 0.00

VASP calculation (SCAN) on a PBEsol-optimized structure of KRe4Ag.

Unit cell a=7.489 b=7.489 c=7.489 alpha=90.00 beta=90.00 gamma=90.00
Space group F-43m (No. 216)
Symmetry-distinct sites (fractional):
K 0.000 0.000 0.000 x4
Re 0.125 0.125 0.375 x16
Ag 0.250 0.250 0.750 x4

Properties
Calculated total energy in eV per atom: -52.87
Crystal system: cubic
Formation energy in eV/atom: 1.147
D(E_F) in states/eV per cell: 23.42
Size of the total moment in Bohr magnetons per cell: 0.00

VASP calculation (SCAN) on a PBEsol-optimized structure of ScFe3O.

Unit cell a=4.366 b=4.366 c=4.366 alpha=90.00 beta=90.00 gamma=90.00
Space group Pm-3m (No. 221)
Symmetry-distinct sites (fractional):
Sc 0.000 0.000 0.000 x1
Fe 0.000 0.000 0.500 x3
O 0.500 0.500 0.500 x1

Properties
Calculated total energy in eV per atom: -12.96
ΔE_f (raw) in meV/atom: 2009
Crystal system: cubic
D(E_F) in states/eV per cell: 5.22
Size of the total moment in Bohr magnetons per cell: 7.67

VASP calculation (SCAN) on a PBEsol-optimized structure of BeNi2W.

Unit cell a=2.597 b=2.597 c=6.403 alpha=90.00 beta=90.00 gamma=90.00
Space group P4/mmm (No. 123)
Symmetry-distinct sites (fractional):
Be 0.000 0.000 0.000 x1
Ni 0.500 0.500 0.203 x2
W 0.000 0.000 0.500 x1

Properties
Calculated total energy in eV per atom: -26.84
Crystal system: tetragonal
Formation energy in eV/atom: -0.242
D(E_F) in states/eV per cell: 2.28
Size of the total moment in Bohr magnetons per cell: 0.00

VASP calculation (SCAN) on a PBEsol-optimized structure of CdNiOsRh2.

Unit cell a=4.583 b=4.583 c=5.047 alpha=90.00 beta=90.00 gamma=90.00
Space group P4/mmm (No. 123)
Symmetry-distinct sites (fractional):
Cd 0.000 0.000 0.000 x1
Ni 0.500 0.500 0.000 x1
Os 0.000 0.000 0.500 x1
Rh 0.000 0.500 0.500 x2

Properties
Calculated total energy in eV per atom: -35.63
Crystal system: tetragonal
Formation energy in eV/atom: 1.574
D(E_F) in states/eV per cell: 5.64
Size of the total moment in Bohr magnetons per cell: 0.86

VASP calculation (SCAN) on a PBEsol-optimized structure of LaBi2HRh.

Unit cell a=6.207 b=6.207 c=4.783 alpha=90.00 beta=90.00 gamma=90.00
Space group P4/mmm (No. 123)
Symmetry-distinct sites (fractional):
La 0.000 0.000 0.000 x1
Bi 0.000 0.500 0.000 x2
H 0.500 0.500 0.500 x1
Rh 0.000 0.000 0.500 x1

Properties
Calculated total energy in eV per atom: -46.32
Crystal system: tetragonal
D(E_F) in states/eV per cell: 4.34
Size of the total moment in Bohr magnetons per cell: 0.85

VASP calculation (SCAN) on a PBEsol-optimized structure of CdSi2Cl2.

Unit cell a=8.575 b=8.575 c=2.898 alpha=90.00 beta=90.00 gamma=90.00
Space group P4/mbm (No. 127)
Symmetry-distinct sites (fractional):
Cd 0.000 0.000 0.000 x2
Si 0.228 0.272 0.500 x4
Cl 0.120 0.620 0.000 x4

Properties
Calculated total energy in eV per atom: -12.96
ΔE_f (raw) in meV/atom: 316
Crystal system: tetragonal
D(E_F) in states/eV per cell: 3.36
Size of the total moment in Bohr magnetons per cell: 0.00

VASP calculation (SCAN) on a PBEsol-optimized structure of Re3Cl.

Unit cell a=9.843 b=2.860 c=4.253 alpha=90.00 beta=90.96 gamma=90.00
Space group C2/m (No. 12)
Symmetry-distinct sites (fractional):
Re 0.000 0.000 0.000 x2
Re 0.214 0.500 0.230 x4
Cl 0.000 0.500 0.500 x2

Properties
Calculated total energy in eV per atom: -54.48
ΔE_f (raw) in meV/atom: 836
Crystal system: monoclinic
D(E_F) in states/eV per cell: 5.22
Size of the total moment in Bohr magnetons per cell: 0.00

VASP calculation (SCAN) on a PBEsol-optimized structure of Ti2CrInTc.

Unit cell a=4.876 b=4.876 c=4.837 alpha=90.00 beta=90.00 gamma=90.00
Space group P4/mmm (No. 123)
Symmetry-distinct sites (fractional):
Ti 0.000 0.500 0.000 x2
Cr 0.000 0.000 0.500 x1
In 0.500 0.500 0.000 x1
Tc 0.500 0.500 0.500 x1

Properties
Calculated total energy in eV per atom: -22.19
Crystal system: tetragonal
Formation energy in eV/atom: 1.585
D(E_F) in states/eV per cell: 5.66
Size of the total moment in Bohr magnetons per cell: 4.49